DFT (PBE-GGA) results for a relaxed structure of Zn2SbTe.

The raw formation energy comes out at 0.168 eV per atom.

It has space group Pmmm (No. 47), with a = 4.0066 Å, b = 4.0253 Å, c = 5.9272 Å, α = 90.00°, β = 90.00° and γ = 90.00°. The asymmetric unit holds Zn at (0.0000, 0.0000, 0.0000), Zn at (0.0000, 0.5000, 0.5000), Sb at (0.5000, 0.0000, 0.5000) and Te at (0.5000, 0.5000, 0.0000).

DFT (PBE-GGA) results for a relaxed structure of PmNd4Pd2.

The formation energy comes out at -294 meV per atom.

It has space group P2_1/m (No. 11), with a = 8.1358 Å, b = 6.6315 Å, c = 8.1444 Å, α = 90.00°, β = 110.42° and γ = 90.00°. The asymmetric unit holds Pm at (0.1427, 0.2500, 0.3570), Nd at (0.0507, 0.7500, 0.0748), Nd at (0.2983, 0.0001, 0.7980), Nd at (0.4254, 0.7500, 0.4508), Pd at (0.0667, 0.7500, 0.4327) and Pd at (0.3612, 0.2500, 0.1378).

DFT (PBE-GGA) results for a relaxed structure of LiAu.

The formation energy comes out at -125 meV per atom.

It has space group I-43m (No. 217), with a = 8.0981 Å, b = 8.0981 Å, c = 8.0981 Å, α = 90.00°, β = 90.00° and γ = 90.00°. The asymmetric unit holds Li at (0.1908, 0.1908, 0.1908) and Au at (0.1282, 0.1282, 0.8718).

DFT (PBE-GGA) results for a relaxed structure of ScCoSe2N.

The raw formation energy comes out at -0.291 eV per atom. As for the offset from the most stable computed form: 0.0 meV per atom.

It has space group P4/mmm (No. 123), with a = 4.8967 Å, b = 4.8967 Å, c = 3.4602 Å, α = 90.00°, β = 90.00° and γ = 90.00°. The asymmetric unit holds Sc at (0.0000, 0.0000, 0.0000), Co at (0.5000, 0.5000, 0.5000), Se at (0.0000, 0.5000, 0.5000) and N at (0.5000, 0.5000, 0.0000).

DFT (PBE-GGA) results for a relaxed structure of BaTa2Ru.

As for the offset from the most stable computed form: 838.7 meV per atom. The formation energy comes out at 1193 meV per atom.

It has space group P4/mmm (No. 123), with a = 4.0086 Å, b = 4.0086 Å, c = 5.3215 Å, α = 90.00°, β = 90.00° and γ = 90.00°. The asymmetric unit holds Ba at (0.0000, 0.0000, 0.0000), Ta at (0.0000, 0.5000, 0.5000) and Ru at (0.5000, 0.5000, 0.0000).

DFT (PBE-GGA) results for a relaxed structure of Pr2Nd3Al.

The formation energy comes out at -72 meV per atom.

It has space group Cmmm (No. 65), with a = 4.9499 Å, b = 15.5921 Å, c = 4.9387 Å, α = 90.00°, β = 90.00° and γ = 90.00°. The asymmetric unit holds Pr at (0.0000, 0.1607, 0.0000), Nd at (0.0000, 0.0000, 0.5000), Nd at (0.0000, 0.3427, 0.5000) and Al at (0.0000, 0.5000, 0.0000).

DFT (PBE-GGA) results for a relaxed structure of AgHg2Ir.

As for the offset from the most stable computed form: 123.9 meV per atom. The formation energy comes out at 461 meV per atom.

It has space group Immm (No. 71), with a = 3.2264 Å, b = 4.9769 Å, c = 9.4298 Å, α = 90.00°, β = 90.00° and γ = 90.00°. The asymmetric unit holds Ag at (0.0000, 0.0000, 0.0000), Hg at (0.0000, 0.5000, 0.2415) and Ir at (0.0000, 0.0000, 0.5000).

DFT (PBE-GGA) results for a relaxed structure of SrCaCdBi.

The formation energy comes out at -564 meV per atom.

It has space group F-43m (No. 216), with a = 8.0558 Å, b = 8.0558 Å, c = 8.0558 Å, α = 90.00°, β = 90.00° and γ = 90.00°. The asymmetric unit holds Sr at (0.0000, 0.0000, 0.0000), Ca at (0.0000, 0.0000, 0.5000), Cd at (0.2500, 0.2500, 0.2500) and Bi at (0.2500, 0.2500, 0.7500).

DFT (PBE-GGA) results for a relaxed structure of LaCe3Ga4.

The formation energy comes out at -487 meV per atom.

It has space group P4/mmm (No. 123), with a = 4.7349 Å, b = 4.7349 Å, c = 8.4910 Å, α = 90.00°, β = 90.00° and γ = 90.00°. The asymmetric unit holds La at (0.0000, 0.0000, 0.0000), Ce at (0.0000, 0.0000, 0.5000), Ce at (0.5000, 0.5000, 0.0000), Ce at (0.5000, 0.5000, 0.5000) and Ga at (0.0000, 0.5000, 0.2541).

DFT (PBE-GGA) results for a relaxed structure of ScAl6Ga.

The formation energy comes out at -149 meV per atom.

It has space group Cmmm (No. 65), with a = 6.0426 Å, b = 9.5916 Å, c = 4.8036 Å, α = 90.00°, β = 90.00° and γ = 90.00°. The asymmetric unit holds Sc at (0.0000, 0.0000, 0.0000), Al at (0.0000, 0.2237, 0.5000), Al at (0.2135, 0.5000, 0.5000), Al at (0.2500, 0.2500, 0.0000) and Ga at (0.0000, 0.5000, 0.0000).

DFT (PBE-GGA) results for a relaxed structure of Pr3Tm6Th2.

The formation energy comes out at 215 meV per atom.

It has space group C2/m (No. 12), with a = 6.1466 Å, b = 10.6611 Å, c = 11.5131 Å, α = 90.00°, β = 100.42° and γ = 90.00°. The asymmetric unit holds Pr at (0.0000, 0.0000, 0.0000), Pr at (0.0000, 0.3353, 0.0000), Tm at (0.2475, 0.0000, 0.7430), Tm at (0.2472, 0.3336, 0.7423) and Th at (0.0000, 0.1655, 0.5000).

DFT (PBE-GGA) results for a relaxed structure of Tb4Dy5Zn.

The formation energy comes out at -55 meV per atom.

It has space group P4/mmm (No. 123), with a = 3.5503 Å, b = 3.5503 Å, c = 23.7488 Å, α = 90.00°, β = 90.00° and γ = 90.00°. The asymmetric unit holds Tb at (0.0000, 0.0000, 0.1057), Tb at (0.0000, 0.0000, 0.3174), Dy at (0.5000, 0.5000, 0.0000), Dy at (0.5000, 0.5000, 0.2122), Dy at (0.5000, 0.5000, 0.4252) and Zn at (0.0000, 0.0000, 0.5000).